DFT (GGA-PBE) results for an optimized crystal structure of IrSeBr2.

DFT total energy	-3.60	eV per atom
symmetry	P4mm
raw formation energy	1.3	eV per formula unit
E above lowest polymorph	0.391	eV per atom
DOS(E_F)	1.6	states/eV/cell

Lattice parameters (Å, degrees): 3.0982 3.0982 10.4237 90.00 90.00 90.00
With the nearest neighbours (Å) after each atom.
Sites, in units of the cell vectors:
Br 0.0000 0.0000 0.9658  4 Br 3.10
Br 0.5000 0.5000 0.3340  4 Ir 3.06, 4 Br 3.10, 1 Se 3.41
Ir 0.0000 0.0000 0.5393  4 Se 2.53
Se 0.5000 0.5000 0.6609  4 Ir 2.53

***

DFT (GGA-PBE) results for an optimized crystal structure of TbY2Ir.

DFT total energy	-7.13	eV per atom
symmetry	Cmcm
E above lowest polymorph	0.039	eV per atom
DOS(E_F)	9.6	states/eV/cell

Lattice parameters (Å, degrees): 3.8759 6.3928 9.2142 90.00 90.00 107.65
With the nearest neighbours (Å) after each atom.
Sites, in units of the cell vectors:
Tb 0.4236 0.8475 0.2500  2 Ir 2.84
Tb 0.5764 0.1525 0.7500  2 Ir 2.84
Y 0.1415 0.2829 0.4329  3 Ir 2.91-3.19
Y 0.8585 0.7171 0.5671  3 Ir 2.91-3.19
Y 0.8585 0.7171 0.9329  3 Ir 2.91-3.19
Y 0.1415 0.2829 0.0671  3 Ir 2.91-3.19
Ir 0.7530 0.5062 0.2500  2 Tb 2.84, 4 Y 2.91
Ir 0.2470 0.4938 0.7500  2 Tb 2.84, 4 Y 2.91